# SrScP2S

A crystal of SrScP2S relaxed with PBEsol (SCAN, Alexandria).

* total magnetic moment: 0.00 μB/f.u.
* ΔE_f (raw): -0.27 eV per atom
* energy: -13.658 eV/atom

a = 5.0420 Å, b = 5.0420 Å, c = 4.5150 Å
α = 90.00°, β = 90.00°, γ = 90.00°
Space group P4/mmm (No. 123)
One atom of each set of equivalent atoms:
Sr  0.0000  0.0000  0.0000 x1
Sc  0.5000  0.5000  0.0000 x1
P  0.0000  0.5000  0.5000 x2
S  0.5000  0.5000  0.5000 x1